Entry from the Alexandria database: a relaxed InIr3S crystal (PBE).

Formation energy from raw total energies in meV per atom: 654.7
ρ in g cm⁻³: 13.6
Spin magnetization in μB per formula unit: 0.0
Energy above the most stable polymorph in this dataset in eV/f.u.: 0.00

Cell and atoms, written as CIF:
```
data_InIr3S
_cell_length_a 4.456
_cell_length_b 4.456
_cell_length_c 4.456
_cell_angle_alpha 90.00
_cell_angle_beta 90.00
_cell_angle_gamma 90.00
_symmetry_space_group_name_H-M 'P m -3 m'
_symmetry_Int_Tables_number 221
_symmetry_space_group_name_Hall '-P 4 2 3'
loop_
_atom_site_label
_atom_site_fract_x
_atom_site_fract_y
_atom_site_fract_z
In1 0.000 0.000 0.000
Ir1 0.000 0.500 0.500
S1 0.500 0.500 0.500
```

---

Entry from the Alexandria database: a relaxed In3IrS crystal (PBE).

Formation energy from raw total energies in meV per atom: 895.5
ρ in g cm⁻³: 7.4
Spin magnetization in μB per formula unit: 0.0
Energy above the most stable polymorph in this dataset in eV/f.u.: 4.51

Cell and atoms, written as CIF:
```
data_In3IrS
_cell_length_a 5.035
_cell_length_b 5.035
_cell_length_c 5.035
_cell_angle_alpha 90.00
_cell_angle_beta 90.00
_cell_angle_gamma 90.00
_symmetry_space_group_name_H-M 'P m -3 m'
_symmetry_Int_Tables_number 221
_symmetry_space_group_name_Hall '-P 4 2 3'
loop_
_atom_site_label
_atom_site_fract_x
_atom_site_fract_y
_atom_site_fract_z
In1 0.000 0.000 0.500
Ir1 0.500 0.500 0.500
S1 0.000 0.000 0.000
```

---

Entry from the Alexandria database: a relaxed In4IrS crystal (PBE).

Formation energy from raw total energies in meV per atom: -191.6
ρ in g cm⁻³: 7.9
Spin magnetization in μB per formula unit: 0.0

Cell and atoms, written as CIF:
```
data_In4IrS
_cell_length_a 14.409
_cell_length_b 6.641
_cell_length_c 6.737
_cell_angle_alpha 90.00
_cell_angle_beta 117.55
_cell_angle_gamma 90.00
_symmetry_space_group_name_H-M 'C 1 2/m 1'
_symmetry_Int_Tables_number 12
loop_
_symmetry_equiv_pos_as_xyz
'x,y,z'
'-x,-y,-z'
'-x,y,-z'
'x,-y,z'
'x+1/2,y+1/2,z'
'-x+1/2,-y+1/2,-z'
'-x+1/2,y+1/2,-z'
'x+1/2,-y+1/2,z'
loop_
_atom_site_label
_atom_site_fract_x
_atom_site_fract_y
_atom_site_fract_z
In1 0.105 0.250 0.354
In2 0.132 0.250 0.880
Ir1 0.000 0.000 0.000
Ir2 0.000 0.500 0.500
S1 0.249 0.000 0.666
```

---

Entry from the Alexandria database: a relaxed InIr3S crystal (PBE).

Formation energy from raw total energies in meV per atom: 2426.5
ρ in g cm⁻³: 10.1
Spin magnetization in μB per formula unit: 3.9
Energy above the most stable polymorph in this dataset in eV/f.u.: 8.86

Cell and atoms, written as CIF:
```
data_InIr3S
_cell_length_a 4.913
_cell_length_b 4.913
_cell_length_c 4.913
_cell_angle_alpha 90.00
_cell_angle_beta 90.00
_cell_angle_gamma 90.00
_symmetry_space_group_name_H-M 'P m -3 m'
_symmetry_Int_Tables_number 221
_symmetry_space_group_name_Hall '-P 4 2 3'
loop_
_atom_site_label
_atom_site_fract_x
_atom_site_fract_y
_atom_site_fract_z
In1 0.000 0.000 0.000
Ir1 0.000 0.000 0.500
S1 0.500 0.500 0.500
```

---

Entry from the Alexandria database: a relaxed In6IrSeS2 crystal (PBE).

Formation energy from raw total energies in meV per atom: -272.7
ρ in g cm⁻³: 6.2
Spin magnetization in μB per formula unit: 0.0

Cell and atoms, written as CIF:
```
data_In6IrSeS2
_cell_length_a 6.476
_cell_length_b 6.697
_cell_length_c 7.414
_cell_angle_alpha 109.87
_cell_angle_beta 91.31
_cell_angle_gamma 113.37
_symmetry_space_group_name_H-M 'P 1'
_symmetry_Int_Tables_number 1
loop_
_symmetry_equiv_pos_as_xyz
'x,y,z'
loop_
_atom_site_label
_atom_site_fract_x
_atom_site_fract_y
_atom_site_fract_z
In1 0.000 0.000 0.000
In2 0.002 0.483 0.518
In3 0.362 0.656 0.873
In4 0.438 0.160 0.471
In5 0.620 0.826 0.514
In6 0.725 0.406 0.963
Ir1 0.708 0.603 0.719
Se1 0.132 0.483 0.153
S1 0.445 0.097 0.086
S2 0.994 0.047 0.377
```

---

Entry from the Alexandria database: a relaxed InSbIr2 crystal (PBE).

Formation energy from raw total energies in meV per atom: 376.3
ρ in g cm⁻³: 12.7
Spin magnetization in μB per formula unit: 0.4
Energy above the most stable polymorph in this dataset in eV/f.u.: 1.24

Cell and atoms, written as CIF:
```
data_InSbIr2
_cell_length_a 3.0209
_cell_length_b 3.0209
_cell_length_c 30.8504
_cell_angle_alpha 90.00
_cell_angle_beta 90.00
_cell_angle_gamma 120.00
_symmetry_space_group_name_H-M 'R 3 m'
_symmetry_Int_Tables_number 160
_symmetry_space_group_name_Hall 'R 3 -2"'
loop_
_atom_site_label
_atom_site_fract_x
_atom_site_fract_y
_atom_site_fract_z
In1 0.0000 0.0000 0.0000
Sb1 0.0000 0.0000 0.2115
Ir1 0.0000 0.0000 0.4766
Ir2 0.0000 0.0000 0.7395
```

---

Entry from the Alexandria database: a relaxed InSb2Ir2 crystal (PBE).

Formation energy from raw total energies in meV per atom: 175.0
ρ in g cm⁻³: 10.8
Spin magnetization in μB per formula unit: 0.0
Energy above the most stable polymorph in this dataset in eV/f.u.: 0.17

Cell and atoms, written as CIF:
```
data_InSb2Ir2
_cell_length_a 4.698
_cell_length_b 4.698
_cell_length_c 10.331
_cell_angle_alpha 90.00
_cell_angle_beta 90.00
_cell_angle_gamma 90.00
_symmetry_space_group_name_H-M 'I 4/m m m'
_symmetry_Int_Tables_number 139
_symmetry_space_group_name_Hall '-I 4 2'
loop_
_atom_site_label
_atom_site_fract_x
_atom_site_fract_y
_atom_site_fract_z
In1 0.000 0.000 0.000
Sb1 0.000 0.500 0.250
Ir1 0.000 0.000 0.374
```

---

Entry from the Alexandria database: a relaxed InSbIr2 crystal (PBE).

Formation energy from raw total energies in meV per atom: 121.4
ρ in g cm⁻³: 14.4
Spin magnetization in μB per formula unit: 0.0
Energy above the most stable polymorph in this dataset in eV/f.u.: 0.22

Cell and atoms, written as CIF:
```
data_InSbIr2
_cell_length_a 3.175
_cell_length_b 3.677
_cell_length_c 6.119
_cell_angle_alpha 90.00
_cell_angle_beta 90.00
_cell_angle_gamma 90.00
_symmetry_space_group_name_H-M 'P m m m'
_symmetry_Int_Tables_number 47
loop_
_symmetry_equiv_pos_as_xyz
'x,y,z'
'-x,-y,-z'
'-x,-y,z'
'x,y,-z'
'x,-y,-z'
'-x,y,z'
'-x,y,-z'
'x,-y,z'
loop_
_atom_site_label
_atom_site_fract_x
_atom_site_fract_y
_atom_site_fract_z
In1 0.000 0.000 0.000
Sb1 0.000 0.000 0.500
Ir1 0.500 0.500 0.247
```

---

Entry from the Alexandria database: a relaxed InSbIr2 crystal (PBE).

Formation energy from raw total energies in meV per atom: 462.1
ρ in g cm⁻³: 14.0
Spin magnetization in μB per formula unit: 0.0
Energy above the most stable polymorph in this dataset in eV/f.u.: 1.58

Cell and atoms, written as CIF:
```
data_InSbIr2
_cell_length_a 6.648
_cell_length_b 6.648
_cell_length_c 6.648
_cell_angle_alpha 90.00
_cell_angle_beta 90.00
_cell_angle_gamma 90.00
_symmetry_space_group_name_H-M 'F -4 3 m'
_symmetry_Int_Tables_number 216
_symmetry_space_group_name_Hall 'F -4 2 3'
loop_
_atom_site_label
_atom_site_fract_x
_atom_site_fract_y
_atom_site_fract_z
In1 0.000 0.000 0.000
Sb1 0.250 0.250 0.250
Ir1 0.000 0.000 0.500
Ir2 0.250 0.250 0.750
```

---

Entry from the Alexandria database: a relaxed InSbIr3 crystal (PBE).

Formation energy from raw total energies in meV per atom: 1393.4
ρ in g cm⁻³: 11.8
Spin magnetization in μB per formula unit: 0.0
Energy above the most stable polymorph in this dataset in eV/f.u.: 0.00

Cell and atoms, written as CIF:
```
data_InSbIr3
_cell_length_a 4.854
_cell_length_b 4.854
_cell_length_c 4.854
_cell_angle_alpha 90.00
_cell_angle_beta 90.00
_cell_angle_gamma 90.00
_symmetry_space_group_name_H-M 'P m -3 m'
_symmetry_Int_Tables_number 221
_symmetry_space_group_name_Hall '-P 4 2 3'
loop_
_atom_site_label
_atom_site_fract_x
_atom_site_fract_y
_atom_site_fract_z
In1 0.000 0.000 0.000
Sb1 0.500 0.500 0.500
Ir1 0.000 0.500 0.500
```

---

Entry from the Alexandria database: a relaxed InSbIr2 crystal (PBE).

Formation energy from raw total energies in meV per atom: 152.9
ρ in g cm⁻³: 14.2
Spin magnetization in μB per formula unit: 0.0
Energy above the most stable polymorph in this dataset in eV/f.u.: 0.35

Cell and atoms, written as CIF:
```
data_InSbIr2
_cell_length_a 3.1291
_cell_length_b 3.1291
_cell_length_c 25.6245
_cell_angle_alpha 90.00
_cell_angle_beta 90.00
_cell_angle_gamma 120.00
_symmetry_space_group_name_H-M 'R -3 m'
_symmetry_Int_Tables_number 166
_symmetry_space_group_name_Hall '-R 3 2"'
loop_
_atom_site_label
_atom_site_fract_x
_atom_site_fract_y
_atom_site_fract_z
In1 0.0000 0.0000 0.0000
Sb1 0.0000 0.0000 0.5000
Ir1 0.0000 0.0000 0.2481
```

---

Entry from the Alexandria database: a relaxed InSb3Ir crystal (PBE).

Formation energy from raw total energies in meV per atom: 424.3
ρ in g cm⁻³: 7.6
Spin magnetization in μB per formula unit: 0.0
Energy above the most stable polymorph in this dataset in eV/f.u.: 0.00

Cell and atoms, written as CIF:
```
data_InSb3Ir
_cell_length_a 5.265
_cell_length_b 5.265
_cell_length_c 5.265
_cell_angle_alpha 90.00
_cell_angle_beta 90.00
_cell_angle_gamma 90.00
_symmetry_space_group_name_H-M 'P m -3 m'
_symmetry_Int_Tables_number 221
_symmetry_space_group_name_Hall '-P 4 2 3'
loop_
_atom_site_label
_atom_site_fract_x
_atom_site_fract_y
_atom_site_fract_z
In1 0.000 0.000 0.000
Sb1 0.000 0.500 0.500
Ir1 0.500 0.500 0.500
```